Here is an optimized crystal structure of K2NiBiF6 from Alexandria. Energies are from PBE with a Hubbard U.

Results
**Magnetization**: 0.10 μB per atom
**Theoretical density**: 4.3 Mg/m³
**E_tot**: -4.256 eV per atom

a = 6.336 Å, b = 6.590 Å, c = 8.597 Å
α = 90.00°, β = 90.00°, γ = 90.00°
Sites, in units of the cell vectors:
K 0.500 0.800 0.233
K 0.000 0.200 0.733
K 0.500 0.800 0.767
K 0.000 0.200 0.267
Ni 0.500 0.231 0.500
Ni 0.000 0.769 0.000
Bi 0.000 0.713 0.500
Bi 0.500 0.287 0.000
F 0.500 0.220 0.259
F 0.500 0.220 0.741
F 0.000 0.780 0.241
F 0.000 0.780 0.759
F 0.255 0.957 0.500
F 0.745 0.957 0.500
F 0.232 0.451 0.500
F 0.768 0.451 0.500
F 0.732 0.549 0.000
F 0.268 0.549 0.000
F 0.245 0.043 0.000
F 0.755 0.043 0.000